(1)
A plane-wave DFT calculation with PBE-GGA was carried out for a relaxed Th2Tl crystal.

Lattice parameters (Å, degrees): 3.559 3.559 14.515 90.00 90.00 90.00
Atoms (fractional coordinates):
Tl 0.000 0.000 0.841
Th 0.500 0.500 0.321
Th 0.000 0.000 0.500
Tl 0.000 0.000 0.159
Th 0.500 0.500 0.000
Th 0.500 0.500 0.679

## Properties
Its total magnetization is 0.000 μB/atom. As for the space group: P4/mmm (123). As for the formation energy: -0.038 eV/atom. The calculation puts the density of states at the Fermi level at 1.67 states/eV per atom.

(2)
A plane-wave DFT calculation with PBE-GGA was carried out for a relaxed Th5Tl4 crystal.

Lattice parameters (Å, degrees): 4.292 8.182 8.182 86.06 74.79 74.79
Atoms (fractional coordinates):
Th 0.000 0.000 0.000
Tl 0.327 0.347 0.000
Th 0.325 0.675 0.675
Th 0.000 0.675 0.325
Th 0.000 0.325 0.675
Tl 0.673 0.000 0.653
Tl 0.327 0.000 0.347
Th 0.675 0.325 0.325
Tl 0.673 0.653 0.000

## Properties
Its total magnetization is 0.000 μB/atom. As for the space group: I4/mmm (139). As for the formation energy: -0.049 eV/atom. The calculation puts the density of states at the Fermi level at 1.27 states/eV per atom.

(3)
A plane-wave DFT calculation with PBE-GGA was carried out for a relaxed Th5Tl crystal.

Lattice parameters (Å, degrees): 4.901 4.966 8.124 107.79 90.00 90.00
Atoms (fractional coordinates):
Th 0.000 0.337 0.673
Th 0.500 0.835 0.669
Th 0.500 0.500 0.000
Th 0.500 0.165 0.331
Th 0.000 0.663 0.327
Tl 0.000 0.000 0.000

## Properties
The offset from the most stable computed form is 0.000 eV per atom. Its total magnetization is 0.000 μB/atom. As for the space group: Cmmm (65). As for the formation energy: -0.003 eV/atom. The calculation puts the density of states at the Fermi level at 1.26 states/eV per atom.

Electronic total energy list, top to bottom, in eV per atom: -5.77; -5.22; -6.58